Model w:
The following is a DFT calculation (PBE) of an optimized crystal structure of BaTc3.

The mass density is 9.611 Mg/m³. As for the volume: 18.6 Å³/atom. As for the spin magnetization: 0.01 μB/cell. As for the space-group type: No. 123.

```
data_BaTc3
_symmetry_space_group_name_H-M 'P 1'
_symmetry_Int_Tables_number 1
_cell_length_a 4.877
_cell_length_b 4.877
_cell_length_c 3.133
_cell_angle_alpha 90.00
_cell_angle_beta 90.00
_cell_angle_gamma 90.01
loop_
_symmetry_equiv_pos_as_xyz
'x,y,z'
loop_
_atom_site_label
_atom_site_fract_x
_atom_site_fract_y
_atom_site_fract_z
Ba1 0.000 0.000 0.000
Tc1 0.000 0.500 0.500
Tc2 0.500 0.000 0.500
Tc3 0.500 0.500 0.000
```


Model x:
The following is a DFT calculation (PBE) of an optimized crystal structure of BaTc3.

The mass density is 9.295 Mg/m³. As for the volume: 19.3 Å³/atom. As for the spin magnetization: 0.00 μB/cell. As for the space-group type: No. 187.

```
data_BaTc3
_symmetry_space_group_name_H-M 'P 1'
_symmetry_Int_Tables_number 1
_cell_length_a 3.050
_cell_length_b 3.050
_cell_length_c 9.565
_cell_angle_alpha 90.00
_cell_angle_beta 90.00
_cell_angle_gamma 120.00
loop_
_symmetry_equiv_pos_as_xyz
'x,y,z'
loop_
_atom_site_label
_atom_site_fract_x
_atom_site_fract_y
_atom_site_fract_z
Ba1 0.000 0.000 0.000
Tc1 0.000 0.000 0.500
Tc2 0.667 0.333 0.300
Tc3 0.667 0.333 0.700
```


Model y:
The following is a DFT calculation (PBE) of an optimized crystal structure of BaTc3.

The mass density is 6.835 Mg/m³. As for the volume: 26.2 Å³/atom. As for the spin magnetization: 0.00 μB/cell. As for the space-group type: No. 63.

```
data_BaTc3
_symmetry_space_group_name_H-M 'P 1'
_symmetry_Int_Tables_number 1
_cell_length_a 7.576
_cell_length_b 7.576
_cell_length_c 4.199
_cell_angle_alpha 90.00
_cell_angle_beta 90.00
_cell_angle_gamma 119.58
loop_
_symmetry_equiv_pos_as_xyz
'x,y,z'
loop_
_atom_site_label
_atom_site_fract_x
_atom_site_fract_y
_atom_site_fract_z
Ba1 0.666 0.334 0.750
Ba2 0.334 0.666 0.250
Tc1 0.113 0.887 0.750
Tc2 0.887 0.113 0.250
Tc3 0.775 0.888 0.750
Tc4 0.225 0.112 0.250
Tc5 0.888 0.775 0.250
Tc6 0.112 0.225 0.750
```


Model z:
The following is a DFT calculation (PBE) of an optimized crystal structure of BaTc3.

The mass density is 8.228 Mg/m³. As for the volume: 21.8 Å³/atom. As for the spin magnetization: 0.02 μB/cell. As for the space-group type: No. 25.

```
data_BaTc3
_symmetry_space_group_name_H-M 'P 1'
_symmetry_Int_Tables_number 1
_cell_length_a 3.026
_cell_length_b 3.951
_cell_length_c 7.281
_cell_angle_alpha 90.00
_cell_angle_beta 90.00
_cell_angle_gamma 90.00
loop_
_symmetry_equiv_pos_as_xyz
'x,y,z'
loop_
_atom_site_label
_atom_site_fract_x
_atom_site_fract_y
_atom_site_fract_z
Ba1 0.000 0.000 0.034
Tc1 0.500 0.000 0.518
Tc2 0.500 0.500 0.715
Tc3 0.000 0.500 0.400
```


The most stable of them is model y.


Model w:
The following is a DFT calculation (PBE) of an optimized crystal structure of BaTc3.

The mass density is 7.910 Mg/m³. As for the volume: 22.6 Å³/atom. As for the spin magnetization: 0.00 μB/cell. As for the space-group type: No. 12.

```
data_BaTc3
_symmetry_space_group_name_H-M 'P 1'
_symmetry_Int_Tables_number 1
_cell_length_a 4.902
_cell_length_b 4.902
_cell_length_c 6.395
_cell_angle_alpha 76.96
_cell_angle_beta 76.96
_cell_angle_gamma 37.36
loop_
_symmetry_equiv_pos_as_xyz
'x,y,z'
loop_
_atom_site_label
_atom_site_fract_x
_atom_site_fract_y
_atom_site_fract_z
Ba1 0.000 0.000 0.000
Tc1 0.500 0.500 0.500
Tc2 0.786 0.786 0.632
Tc3 0.214 0.214 0.368
```


Model x:
The following is a DFT calculation (PBE) of an optimized crystal structure of BaTc3.

The mass density is 8.505 Mg/m³. As for the volume: 21.1 Å³/atom. As for the spin magnetization: 0.60 μB/cell. As for the space-group type: No. 63.

```
data_BaTc3
_symmetry_space_group_name_H-M 'P 1'
_symmetry_Int_Tables_number 1
_cell_length_a 6.134
_cell_length_b 6.134
_cell_length_c 4.676
_cell_angle_alpha 90.00
_cell_angle_beta 90.00
_cell_angle_gamma 106.81
loop_
_symmetry_equiv_pos_as_xyz
'x,y,z'
loop_
_atom_site_label
_atom_site_fract_x
_atom_site_fract_y
_atom_site_fract_z
Ba1 0.402 0.598 0.250
Ba2 0.598 0.402 0.750
Tc1 0.946 0.054 0.750
Tc2 0.054 0.946 0.250
Tc3 0.049 0.642 0.750
Tc4 0.951 0.358 0.250
Tc5 0.358 0.951 0.750
Tc6 0.642 0.049 0.250
```


The most stable of them is model w.


Model w:
The following is a DFT calculation (PBE) of an optimized crystal structure of Ba3Tc.

The mass density is 5.320 Mg/m³. As for the volume: 39.8 Å³/atom. As for the spin magnetization: 2.75 μB/cell. As for the space-group type: No. 223.

```
data_Ba3Tc
_symmetry_space_group_name_H-M 'P 1'
_symmetry_Int_Tables_number 1
_cell_length_a 6.828
_cell_length_b 6.828
_cell_length_c 6.828
_cell_angle_alpha 90.00
_cell_angle_beta 90.00
_cell_angle_gamma 90.00
loop_
_symmetry_equiv_pos_as_xyz
'x,y,z'
loop_
_atom_site_label
_atom_site_fract_x
_atom_site_fract_y
_atom_site_fract_z
Ba1 0.750 0.500 0.000
Ba2 0.250 0.500 0.000
Ba3 0.000 0.750 0.500
Ba4 0.000 0.250 0.500
Ba5 0.500 0.000 0.250
Ba6 0.500 0.000 0.750
Tc1 0.000 0.000 0.000
Tc2 0.500 0.500 0.500
```


Model x:
The following is a DFT calculation (PBE) of an optimized crystal structure of Ba3Tc.

The mass density is 5.181 Mg/m³. As for the volume: 40.9 Å³/atom. As for the spin magnetization: 2.28 μB/cell. As for the space-group type: No. 166.

```
data_Ba3Tc
_symmetry_space_group_name_H-M 'P 1'
_symmetry_Int_Tables_number 1
_cell_length_a 7.078
_cell_length_b 7.078
_cell_length_c 7.078
_cell_angle_alpha 116.71
_cell_angle_beta 116.71
_cell_angle_gamma 116.71
loop_
_symmetry_equiv_pos_as_xyz
'x,y,z'
loop_
_atom_site_label
_atom_site_fract_x
_atom_site_fract_y
_atom_site_fract_z
Ba1 0.000 0.000 0.000
Ba2 0.500 0.000 0.500
Ba3 0.500 0.500 0.000
Tc1 0.000 0.500 0.500
```


The most stable of them is model w.


Model w:
The following is a DFT calculation (PBE) of an optimized crystal structure of Ba3Tc.

The mass density is 5.116 Mg/m³. As for the volume: 41.4 Å³/atom. As for the spin magnetization: 1.75 μB/cell. As for the space-group type: No. 62.

```
data_Ba3Tc
_symmetry_space_group_name_H-M 'P 1'
_symmetry_Int_Tables_number 1
_cell_length_a 7.400
_cell_length_b 8.033
_cell_length_c 11.139
_cell_angle_alpha 90.00
_cell_angle_beta 90.00
_cell_angle_gamma 90.00
loop_
_symmetry_equiv_pos_as_xyz
'x,y,z'
loop_
_atom_site_label
_atom_site_fract_x
_atom_site_fract_y
_atom_site_fract_z
Ba1 0.154 0.071 0.750
Ba2 0.654 0.429 0.250
Ba3 0.346 0.571 0.750
Ba4 0.846 0.929 0.250
Ba5 0.672 0.162 0.924
Ba6 0.172 0.338 0.076
Ba7 0.828 0.662 0.576
Ba8 0.328 0.838 0.424
Ba9 0.328 0.838 0.076
Ba10 0.828 0.662 0.924
Ba11 0.172 0.338 0.424
Ba12 0.672 0.162 0.576
Tc1 0.517 0.944 0.750
Tc2 0.017 0.556 0.250
Tc3 0.983 0.444 0.750
Tc4 0.483 0.056 0.250
```


Model x:
The following is a DFT calculation (PBE) of an optimized crystal structure of Ba3Tc.

The mass density is 3.946 Mg/m³. As for the volume: 53.7 Å³/atom. As for the spin magnetization: 0.00 μB/cell. As for the space-group type: No. 63.

```
data_Ba3Tc
_symmetry_space_group_name_H-M 'P 1'
_symmetry_Int_Tables_number 1
_cell_length_a 9.955
_cell_length_b 9.955
_cell_length_c 4.428
_cell_angle_alpha 90.00
_cell_angle_beta 90.00
_cell_angle_gamma 101.99
loop_
_symmetry_equiv_pos_as_xyz
'x,y,z'
loop_
_atom_site_label
_atom_site_fract_x
_atom_site_fract_y
_atom_site_fract_z
Ba1 0.878 0.122 0.750
Ba2 0.122 0.878 0.250
Ba3 0.801 0.554 0.750
Ba4 0.199 0.446 0.250
Ba5 0.446 0.199 0.750
Ba6 0.554 0.801 0.250
Tc1 0.522 0.478 0.250
Tc2 0.478 0.522 0.750
```


Model y:
The following is a DFT calculation (PBE) of an optimized crystal structure of Ba3Tc.

The mass density is 4.816 Mg/m³. As for the volume: 44.0 Å³/atom. As for the spin magnetization: 0.39 μB/cell. As for the space-group type: No. 63.

```
data_Ba3Tc
_symmetry_space_group_name_H-M 'P 1'
_symmetry_Int_Tables_number 1
_cell_length_a 11.211
_cell_length_b 11.211
_cell_length_c 4.228
_cell_angle_alpha 90.00
_cell_angle_beta 90.00
_cell_angle_gamma 138.57
loop_
_symmetry_equiv_pos_as_xyz
'x,y,z'
loop_
_atom_site_label
_atom_site_fract_x
_atom_site_fract_y
_atom_site_fract_z
Ba1 0.243 0.757 0.250
Ba2 0.757 0.243 0.750
Ba3 0.177 0.353 0.250
Ba4 0.823 0.647 0.750
Ba5 0.353 0.177 0.750
Ba6 0.647 0.823 0.250
Tc1 0.646 0.354 0.250
Tc2 0.354 0.646 0.750
```


Model z:
The following is a DFT calculation (PBE) of an optimized crystal structure of Ba3Tc.

The mass density is 4.680 Mg/m³. As for the volume: 45.2 Å³/atom. As for the spin magnetization: 0.00 μB/cell. As for the space-group type: No. 44.

```
data_Ba3Tc
_symmetry_space_group_name_H-M 'P 1'
_symmetry_Int_Tables_number 1
_cell_length_a 7.332
_cell_length_b 7.332
_cell_length_c 7.332
_cell_angle_alpha 147.67
_cell_angle_beta 119.44
_cell_angle_gamma 70.34
loop_
_symmetry_equiv_pos_as_xyz
'x,y,z'
loop_
_atom_site_label
_atom_site_fract_x
_atom_site_fract_y
_atom_site_fract_z
Ba1 0.132 0.082 0.050
Ba2 0.468 0.418 0.050
Ba3 0.772 0.250 0.522
Tc1 0.461 0.750 0.711
```


The most stable of them is model x.